1.
## IrOs2Rh (GGA-PBE)

Data for IrOs2Rh after structural relaxation.

Cell and atoms, written as CIF:
```
data_IrOs2Rh
_chemical_formula_sum 'Ir2 Os4 Rh2'
_space_group_name_H-M_alt 'I -4 m 2'
_space_group_IT_number 119
_space_group_name_Hall 'I -4 -2'
_cell_length_a 3.8603
_cell_length_b 3.8603
_cell_length_c 7.6882
_cell_angle_alpha 90.00
_cell_angle_beta 90.00
_cell_angle_gamma 90.00
loop_
_atom_site_label
_atom_site_type_symbol
_atom_site_fract_x
_atom_site_fract_y
_atom_site_fract_z
Ir1 Ir 0.0000 0.0000 0.0000
Os1 Os 0.0000 0.0000 0.5000
Os2 Os 0.0000 0.5000 0.7500
Rh1 Rh 0.0000 0.5000 0.2500
```



2.
## IrOsRh6 (GGA-PBE)

Data for IrOsRh6 after structural relaxation.

Cell and atoms, written as CIF:
```
data_IrOsRh6
_chemical_formula_sum 'Ir3 Os3 Rh18'
_space_group_name_H-M_alt 'R -3 m'
_space_group_IT_number 166
_space_group_name_Hall '-R 3 2"'
_cell_length_a 7.2403
_cell_length_b 7.2403
_cell_length_c 9.0126
_cell_angle_alpha 90.00
_cell_angle_beta 90.00
_cell_angle_gamma 120.00
loop_
_atom_site_label
_atom_site_type_symbol
_atom_site_fract_x
_atom_site_fract_y
_atom_site_fract_z
Ir1 Ir 0.0000 0.0000 0.0000
Os1 Os 0.0000 0.0000 0.5000
Rh1 Rh 0.0706 0.5353 0.8698
```



| no. | energy relative to the lowest polymorph listed for this composition (eV/atom) | total DFT energy (no corrections) (eV/cell) |
| --- | --- | --- |
| 1 | 0.036 | -76.68 |
| 2 | 0.826 | -171.90 |